1.
Ca6Sb2AsP | PBE | relaxed

Structure (POSCAR):
```
Ca6Sb2AsP
1.0
7.494 0.000 -0.019
0.000 7.903 0.000
0.039 0.000 10.659
Ca Sb As P
12 4 2 2
Direct
0.305 0.692 0.058
0.805 0.808 0.558
0.695 0.308 0.942
0.195 0.192 0.442
0.311 0.698 0.440
0.811 0.802 0.940
0.689 0.302 0.560
0.189 0.198 0.060
0.883 0.551 0.247
0.383 0.949 0.747
0.117 0.449 0.753
0.617 0.051 0.253
0.021 0.930 0.251
0.521 0.570 0.751
0.979 0.070 0.749
0.479 0.430 0.249
0.500 0.000 0.000
0.000 0.500 0.500
0.500 0.000 0.500
0.000 0.500 0.000
```

Calculated values
Raw total energy: -82.35 eV per cell
Energy relative to the elements, uncorrected: -1.09 eV/atom
Size of the total moment: 0.0 μB/f.u.

---

2.
B2H6I | PBE | relaxed

Structure (POSCAR):
```
B2H6I
1.0
-1.294 4.367 0.748
0.235 1.781 4.252
3.168 3.209 0.987
I H B
1 6 2
Direct
0.000 0.000 0.000
0.353 0.647 0.353
0.647 0.353 0.353
0.353 0.647 0.647
0.647 0.353 0.647
0.647 0.647 0.353
0.353 0.353 0.647
0.750 0.750 0.750
0.250 0.250 0.250
```

Calculated values
Raw total energy: -19.78 eV per cell
Excess energy over the best structure of this formula in the dataset: 1692 meV per atom
Size of the total moment: 0.0 μB/f.u.

---

3.
CaMgNiSn2 | PBE | relaxed

Structure (POSCAR):
```
CaMgNiSn2
1.0
5.016 0.000 0.000
0.000 5.016 0.000
0.000 0.000 4.862
Mg Ni Ca Sn
1 1 1 2
Direct
0.000 0.000 0.500
0.000 0.000 0.000
0.500 0.500 0.500
0.000 0.500 0.000
0.500 0.000 0.000
```

Calculated values
Raw total energy: -18.55 eV per cell
ΔE_f: -234 meV per atom
Size of the total moment: 0.0 μB/f.u.

---

4.
Ho6OsPb2 | PBE | relaxed

Structure (POSCAR):
```
Ho6OsPb2
1.0
4.358 0.000 0.000
0.000 8.127 0.000
0.000 -4.064 7.040
Ho Os Pb
6 1 2
Direct
0.500 0.607 0.000
0.500 0.393 0.392
0.500 0.000 0.608
0.000 0.238 0.000
0.000 0.762 0.762
0.000 0.000 0.238
0.500 0.000 0.000
0.000 0.333 0.667
0.000 0.667 0.333
```

Calculated values
Raw total energy: -49.81 eV per cell
ΔE_f: -410 meV per atom
Size of the total moment: 0.0 μB/f.u.

---

5.
Zr2SiAgPt | PBE | relaxed

Structure (POSCAR):
```
Zr2SiAgPt
1.0
-2.840 -3.337 -2.278
1.244 -3.090 2.975
-3.799 1.257 2.895
Zr Si Ag Pt
2 1 1 1
Direct
0.000 0.000 0.500
0.500 0.000 0.000
0.000 0.000 0.000
0.000 0.500 0.000
0.500 0.500 0.500
```

Calculated values
Raw total energy: -30.38 eV per cell
Energy relative to the elements, uncorrected: 0.21 eV/atom
Size of the total moment: 0.0 μB/f.u.

---

6.
La3SmIr2 | PBE | relaxed

Structure (POSCAR):
```
La3SmIr2
1.0
2.158 8.583 -0.402
-2.158 8.583 -0.402
0.000 6.772 9.949
La Sm Ir
6 2 4
Direct
0.941 0.941 0.191
0.059 0.059 0.809
0.313 0.313 0.058
0.687 0.687 0.942
0.187 0.187 0.439
0.813 0.813 0.561
0.561 0.561 0.312
0.439 0.439 0.688
0.126 0.126 0.129
0.874 0.874 0.871
0.376 0.376 0.376
0.624 0.624 0.624
```

Calculated values
Raw total energy: -81.71 eV per cell
ΔE_f: -605 meV per atom
Size of the total moment: 0.0 μB/f.u.

---

7.
Ac5Cd2Pd2 | PBE | relaxed

Structure (POSCAR):
```
Ac5Cd2Pd2
1.0
-3.590 -5.982 -5.926
5.185 2.286 -5.448
2.835 -7.059 5.407
Ac Cd Pd
10 4 4
Direct
0.000 0.000 0.000
0.500 0.500 0.000
0.821 0.784 0.249
0.179 0.465 0.249
0.321 0.965 0.249
0.679 0.284 0.249
0.179 0.216 0.751
0.821 0.535 0.751
0.679 0.035 0.751
0.321 0.716 0.751
0.000 0.212 0.424
0.500 0.712 0.424
0.000 0.788 0.576
0.500 0.288 0.576
0.616 0.868 0.000
0.384 0.132 0.000
0.116 0.632 0.000
0.884 0.368 0.000
```

Calculated values
Raw total energy: -73.21 eV per cell
ΔE_f: -427 meV per atom
Size of the total moment: 0.0 μB/f.u.

---

8.
GeSbTeI2 | PBE | relaxed

Structure (POSCAR):
```
GeSbTeI2
1.0
-3.016 -4.540 0.775
0.161 -1.029 -5.406
4.895 -3.126 0.741
I Sb Ge Te
2 1 1 1
Direct
0.000 0.500 0.000
0.500 0.000 0.000
0.000 0.000 0.500
0.000 0.000 0.000
0.500 0.500 0.500
```

Calculated values
Raw total energy: -12.80 eV per cell
Excess energy over the best structure of this formula in the dataset: 49 meV per atom
Energy relative to the elements, uncorrected: 0.44 eV/atom
Size of the total moment: 0.5 μB/f.u.

---

Which formula does entry 2 have?
B2H6I